Version P
Sb2PCl: optimized geometry, PBE-GGA.

Calculated values
The value obtained for the spin magnetization is 0.00 μB per formula unit. The density of states at the Fermi level is 2.03 states/eV/f.u. The symmetry is P4mm.

The structure in POSCAR format:
```
Sb2PCl
1.0
3.828 0.000 0.000
0.000 3.828 0.000
0.000 0.000 8.149
Sb P Cl
2 1 1
direct
0.000 0.000 0.000
0.500 0.500 0.341
0.500 0.500 0.032
0.000 0.000 0.702
```


Version Q
Sb2PCl: optimized geometry, PBE-GGA.

Calculated values
The value obtained for the spin magnetization is 0.00 μB per formula unit. The density of states at the Fermi level is 1.60 states/eV/f.u. The symmetry is C2/m.

The structure in POSCAR format:
```
Sb2PCl
1.0
4.131 -1.830 0.000
4.131 1.830 0.000
-1.450 0.000 6.648
Sb P Cl
2 1 1
direct
0.235 0.235 0.195
0.765 0.765 0.805
0.500 0.500 0.000
0.000 0.000 0.500
```


Version R
Sb2PCl: optimized geometry, PBE-GGA.

Calculated values
The value obtained for the spin magnetization is 0.00 μB per formula unit. The density of states at the Fermi level is 2.14 states/eV/f.u. The symmetry is R3m.

The structure in POSCAR format:
```
Sb2PCl
1.0
1.807 1.043 9.541
-1.807 1.043 9.541
0.000 -2.086 9.541
Sb P Cl
2 1 1
direct
0.000 0.000 0.000
0.224 0.224 0.224
0.506 0.506 0.506
0.739 0.739 0.739
```


Version S
Sb2PCl: optimized geometry, PBE-GGA.

Calculated values
The value obtained for the spin magnetization is 0.24 μB per formula unit. The density of states at the Fermi level is 4.01 states/eV/f.u. The symmetry is F-43m.

The structure in POSCAR format:
```
Sb2PCl
1.0
0.000 3.559 3.559
3.559 0.000 3.559
3.559 3.559 0.000
Sb P Cl
2 1 1
direct
0.000 0.000 0.000
0.250 0.250 0.250
0.500 0.500 0.500
0.750 0.750 0.750
```


The most stable arrangement is version P, and the next structure is 0.046 eV/atom less stable.


Version P
Sb2PCl: optimized geometry, PBE-GGA.

Calculated values
The value obtained for the spin magnetization is 0.00 μB per formula unit. The density of states at the Fermi level is 3.24 states/eV/f.u. The symmetry is Fm-3m.

The structure in POSCAR format:
```
Sb2PCl
1.0
0.000 3.528 3.528
3.528 0.000 3.528
3.528 3.528 0.000
Sb P Cl
2 1 1
direct
0.250 0.250 0.250
0.750 0.750 0.750
0.000 0.000 0.000
0.500 0.500 0.500
```


Version Q
Sb2PCl: optimized geometry, PBE-GGA.

Calculated values
The value obtained for the spin magnetization is 0.00 μB per formula unit. The density of states at the Fermi level is 3.57 states/eV/f.u. The symmetry is R-3m.

The structure in POSCAR format:
```
Sb2PCl
1.0
2.212 1.277 6.115
-2.212 1.277 6.115
0.000 -2.554 6.115
Sb P Cl
2 1 1
direct
0.227 0.227 0.227
0.773 0.773 0.773
0.500 0.500 0.500
0.000 0.000 0.000
```


Version R
Sb2PCl: optimized geometry, PBE-GGA.

Calculated values
The value obtained for the spin magnetization is 0.00 μB per formula unit. The density of states at the Fermi level is 1.69 states/eV/f.u. The symmetry is P4/mmm.

The structure in POSCAR format:
```
Sb2PCl
1.0
3.522 0.000 0.000
0.000 3.522 0.000
0.000 0.000 7.476
Sb P Cl
2 1 1
direct
0.000 0.000 0.203
0.000 0.000 0.797
0.500 0.500 0.000
0.500 0.500 0.500
```


Version S
Sb2PCl: optimized geometry, PBE-GGA.

Calculated values
The value obtained for the spin magnetization is 0.00 μB per formula unit. The density of states at the Fermi level is 0.73 states/eV/f.u. The symmetry is Pm.

The structure in POSCAR format:
```
Sb2PCl
1.0
3.860 0.000 0.000
0.000 5.349 0.000
-1.742 0.000 5.640
Sb P Cl
2 1 1
direct
0.000 0.000 0.000
0.435 0.500 0.233
0.787 0.500 0.924
0.128 0.000 0.613
```


The most stable arrangement is version S, and the next structure is 0.059 eV/atom less stable.


Version P
Sb2PCl: optimized geometry, PBE-GGA.

Calculated values
The value obtained for the spin magnetization is 0.00 μB per formula unit. The density of states at the Fermi level is 1.36 states/eV/f.u. The symmetry is P2/m.

The structure in POSCAR format:
```
Sb2PCl
1.0
3.116 0.000 0.000
0.000 4.194 0.000
-0.053 0.000 7.757
Sb P Cl
2 1 1
direct
0.002 0.000 0.226
0.998 0.000 0.774
0.000 0.500 0.000
0.000 0.500 0.500
```


Version Q
Sb2PCl: optimized geometry, PBE-GGA.

Calculated values
The value obtained for the spin magnetization is 0.00 μB per formula unit. The density of states at the Fermi level is 2.84 states/eV/f.u. The symmetry is I-4m2.

The structure in POSCAR format:
```
Sb2PCl
1.0
-1.997 1.997 5.970
1.997 -1.997 5.970
1.997 1.997 -5.970
Sb P Cl
2 1 1
direct
0.000 0.000 0.000
0.750 0.250 0.500
0.500 0.500 0.000
0.250 0.750 0.500
```


The most stable arrangement is version P, and the next structure is 0.312 eV/atom less stable.


Version P
Sb2PCl: optimized geometry, PBE-GGA.

Calculated values
The value obtained for the spin magnetization is 0.00 μB per formula unit. The density of states at the Fermi level is 2.25 states/eV/f.u. The symmetry is Pmmm.

The structure in POSCAR format:
```
Sb2PCl
1.0
3.734 0.000 0.000
0.000 4.272 0.000
0.000 0.000 5.867
Sb P Cl
2 1 1
direct
0.000 0.000 0.000
0.500 0.000 0.500
0.000 0.500 0.500
0.500 0.500 0.000
```


Version Q
Sb2PCl: optimized geometry, PBE-GGA.

Calculated values
The value obtained for the spin magnetization is 0.00 μB per formula unit. The density of states at the Fermi level is 0.15 states/eV/f.u. The symmetry is I-42d.

The structure in POSCAR format:
```
Sb2PCl
1.0
-3.880 3.880 3.387
3.880 -3.880 3.387
3.880 3.880 -3.387
Sb P Cl
4 2 2
direct
0.085 0.625 0.960
0.375 0.335 0.460
0.665 0.125 0.040
0.875 0.915 0.540
0.000 0.000 0.000
0.750 0.250 0.500
0.250 0.750 0.500
0.500 0.500 0.000
```


The most stable arrangement is version Q, and the next structure is 0.280 eV/atom less stable.


Version P
SbP3Cl: optimized geometry, PBE-GGA.

Calculated values
The value obtained for the spin magnetization is 0.00 μB per formula unit. The density of states at the Fermi level is 6.87 states/eV/f.u. The symmetry is Pm-3m.

The structure in POSCAR format:
```
SbP3Cl
1.0
5.109 0.000 0.000
0.000 5.109 0.000
0.000 0.000 5.109
Sb P Cl
1 3 1
direct
0.000 0.000 0.000
0.000 0.000 0.500
0.000 0.500 0.000
0.500 0.000 0.000
0.500 0.500 0.500
```


Version Q
SbP3Cl: optimized geometry, PBE-GGA.

Calculated values
The value obtained for the spin magnetization is 0.00 μB per formula unit. The density of states at the Fermi level is 3.34 states/eV/f.u. The symmetry is Pm-3m.

The structure in POSCAR format:
```
SbP3Cl
1.0
4.670 0.000 0.000
0.000 4.670 0.000
0.000 0.000 4.670
Sb P Cl
1 3 1
direct
0.000 0.000 0.000
0.000 0.500 0.500
0.500 0.000 0.500
0.500 0.500 0.000
0.500 0.500 0.500
```


The most stable arrangement is version Q, and the next structure is 0.069 eV/atom less stable.


Version P
SbP2SeCl: optimized geometry, PBE-GGA.

Calculated values
The value obtained for the spin magnetization is 0.00 μB per formula unit. The density of states at the Fermi level is 3.73 states/eV/f.u. The symmetry is P4/mmm.

The structure in POSCAR format:
```
SbP2SeCl
1.0
4.933 0.000 0.000
0.000 4.933 0.000
0.000 0.000 4.715
Sb P Se Cl
1 2 1 1
direct
0.000 0.000 0.000
0.000 0.500 0.500
0.500 0.000 0.500
0.500 0.500 0.500
0.500 0.500 0.000
```


Version Q
SbP2SeCl: optimized geometry, PBE-GGA.

Calculated values
The value obtained for the spin magnetization is 0.00 μB per formula unit. The density of states at the Fermi level is 4.63 states/eV/f.u. The symmetry is P4/mmm.

The structure in POSCAR format:
```
SbP2SeCl
1.0
5.171 0.000 0.000
0.000 5.171 0.000
0.000 0.000 4.952
Sb P Se Cl
1 2 1 1
direct
0.000 0.000 0.000
0.000 0.500 0.000
0.500 0.000 0.000
0.500 0.500 0.500
0.000 0.000 0.500
```


The most stable arrangement is version P, and the next structure is 0.171 eV/atom less stable.


Version P
SrSbP2Cl: optimized geometry, PBE-GGA.

Calculated values
The value obtained for the spin magnetization is 1.96 μB per formula unit. The density of states at the Fermi level is 2.34 states/eV/f.u. The symmetry is P4/mmm.

The structure in POSCAR format:
```
SrSbP2Cl
1.0
5.876 0.000 0.000
0.000 5.876 0.000
0.000 0.000 5.265
Sr Sb P Cl
1 1 2 1
direct
0.000 0.000 0.000
0.500 0.500 0.500
0.000 0.500 0.000
0.500 0.000 0.000
0.000 0.000 0.500
```


Version Q
SrSbP2Cl: optimized geometry, PBE-GGA.

Calculated values
The value obtained for the spin magnetization is 0.00 μB per formula unit. The density of states at the Fermi level is 2.66 states/eV/f.u. The symmetry is P4/mmm.

The structure in POSCAR format:
```
SrSbP2Cl
1.0
5.098 0.000 0.000
0.000 5.098 0.000
0.000 0.000 5.381
Sr Sb P Cl
1 1 2 1
direct
0.000 0.000 0.000
0.500 0.500 0.500
0.000 0.500 0.500
0.500 0.000 0.500
0.500 0.500 0.000
```


The most stable arrangement is version Q, and the next structure is 0.790 eV/atom less stable.


Version P
TaSbPCl2: optimized geometry, PBE-GGA.

Calculated values
The value obtained for the spin magnetization is 1.24 μB per formula unit. The density of states at the Fermi level is 2.39 states/eV/f.u. The symmetry is P4/mmm.

The structure in POSCAR format:
```
TaSbPCl2
1.0
4.740 0.000 0.000
0.000 4.740 0.000
0.000 0.000 5.179
Ta Sb P Cl
1 1 1 2
direct
0.000 0.000 0.000
0.500 0.500 0.500
0.000 0.000 0.500
0.000 0.500 0.000
0.500 0.000 0.000
```


Version Q
TaSbPCl2: optimized geometry, PBE-GGA.

Calculated values
The value obtained for the spin magnetization is 3.28 μB per formula unit. The density of states at the Fermi level is 7.92 states/eV/f.u. The symmetry is P4/mmm.

The structure in POSCAR format:
```
TaSbPCl2
1.0
5.034 0.000 0.000
0.000 5.034 0.000
0.000 0.000 5.417
Ta Sb P Cl
1 1 1 2
direct
0.000 0.000 0.000
0.500 0.500 0.500
0.500 0.500 0.000
0.000 0.500 0.500
0.500 0.000 0.500
```


The most stable arrangement is version P, and the next structure is 1.043 eV/atom less stable.